## a
{
  "formula": "CaZrCl2",
  "functional": "PBE",
  "state": "optimized geometry",
  "lattice": [[-0.349, 3.869, -3.603], [-2.480, -0.879, -4.599], [-4.672, 2.301, -0.972]],
  "species": ["Ca", "Zr", "Cl", "Cl"],
  "frac_coords": [[0.500, 0.500, 0.500], [0.750, 0.750, 0.750], [0.000, 0.000, 0.000], [0.250, 0.250, 0.250]],
  "dos_at_fermi_per_ev_atom": 0.88,
  "crystal_system": "cubic"
}

=====

## b
{
  "formula": "CaZrCl2",
  "functional": "PBE",
  "state": "optimized geometry",
  "lattice": [[4.650, -0.003, 0.009], [3.417, 3.153, 0.009], [1.223, 0.478, 5.888]],
  "species": ["Ca", "Zr", "Cl", "Cl"],
  "frac_coords": [[0.250, 0.250, 0.250], [0.750, 0.750, 0.750], [0.011, 0.011, 0.968], [0.489, 0.489, 0.532]],
  "dos_at_fermi_per_ev_atom": 0.55,
  "crystal_system": "monoclinic"
}

=====

Q: Which of them is the most stable? A: b.